{"formula": "RbAs2PSe", "functional": "GGA-PBE", "state": "optimized geometry", "lattice_angstrom": [[-1.965, -3.748, 3.668], [-3.547, -1.936, -3.878], [3.888, -3.707, -1.706]], "species": ["P", "As", "As", "Se", "Rb"], "fractional_positions": [[0.500, 0.500, 0.500], [0.000, 0.500, 0.000], [0.500, 0.000, 0.000], [0.000, 0.000, 0.500], [0.000, 0.000, 0.000]], "relative_energy_ev_per_fu": 9.046, "crystal_system": "tetragonal", "formation_energy_uncorrected_mev_per_atom": 2028}

{"formula": "RbAs2PSe", "functional": "GGA-PBE", "state": "optimized geometry", "lattice_angstrom": [[4.946, 0.000, 0.000], [0.000, 4.946, 0.000], [0.000, 0.000, 5.306]], "species": ["P", "As", "As", "Se", "Rb"], "fractional_positions": [[0.000, 0.000, 0.000], [0.000, 0.500, 0.000], [0.500, 0.000, 0.000], [0.000, 0.000, 0.500], [0.500, 0.500, 0.500]], "relative_energy_ev_per_fu": 0.000, "crystal_system": "tetragonal", "formation_energy_uncorrected_mev_per_atom": 219}

{"formula": "Rb2TlAsP", "functional": "GGA-PBE", "state": "optimized geometry", "lattice_angstrom": [[-0.044, -4.883, 5.025], [5.050, -0.837, -0.769], [1.537, 4.896, 4.771]], "species": ["P", "Tl", "As", "Rb", "Rb"], "fractional_positions": [[0.500, 0.500, 0.500], [0.000, 0.000, 0.000], [0.000, 0.500, 0.000], [0.000, 0.000, 0.500], [0.500, 0.000, 0.000]], "e_form_ev_per_fu": 2.2, "crystal_system": "tetragonal"}

{"formula": "Rb2U2As2P", "functional": "GGA-PBE", "state": "optimized geometry", "lattice_angstrom": [[-2.976, 3.945, -1.531], [-4.159, -2.381, 1.948], [4.884, 3.185, 7.452]], "species": ["Rb", "Rb", "U", "U", "As", "As", "P"], "fractional_positions": [[0.190, 0.190, 0.380], [0.810, 0.810, 0.620], [0.000, 0.500, 0.000], [0.500, 0.000, 0.000], [0.401, 0.401, 0.802], [0.599, 0.599, 0.198], [0.000, 0.000, 0.000]], "e_form_ev_per_fu": -3.1, "crystal_system": "tetragonal"}

{"formula": "Rb2YAsP", "functional": "GGA-PBE", "state": "optimized geometry", "lattice_angstrom": [[7.466, 0.000, 0.000], [0.000, 7.466, 0.000], [0.000, 0.000, 5.126]], "species": ["Y", "P", "As", "Rb", "Rb"], "fractional_positions": [[0.000, 0.000, 0.000], [0.000, 0.000, 0.500], [0.500, 0.500, 0.500], [0.000, 0.500, 0.000], [0.500, 0.000, 0.000]], "e_form_ev_per_fu": 2.5, "crystal_system": "tetragonal"}

{"formula": "Rb2ZnAsP", "functional": "GGA-PBE", "state": "optimized geometry", "lattice_angstrom": [[6.786, 0.000, 0.000], [0.000, 4.210, 0.000], [0.000, 0.000, 6.786]], "species": ["P", "As", "Zn", "Rb", "Rb"], "fractional_positions": [[0.000, 0.500, 0.000], [0.500, 0.500, 0.500], [0.000, 0.000, 0.000], [0.000, 0.000, 0.500], [0.500, 0.000, 0.000]], "e_form_ev_per_fu": 0.9, "crystal_system": "tetragonal"}

| no. | DFT total energy (Ry/atom) |
| --- | --- |
| 1 | -0.133 |
| 2 | -0.266 |
| 3 | -0.178 |
| 4 | -0.444 |
| 5 | -0.235 |
| 6 | -0.182 |